Entry 1:
A plane-wave DFT calculation with PBE was carried out for a geometry-optimized GdTmSe2 structure.

```
GdTmSe2
1.0
2.035 1.175 6.658
-2.035 1.175 6.658
0.000 -2.350 6.658
Gd Tm Se
1 1 2
Cartesian
0.000 0.000 0.000
0.000 0.000 9.988
0.000 0.000 4.929
0.000 0.000 15.046
```

---

Entry 2:
A plane-wave DFT calculation with PBE was carried out for a geometry-optimized Gd2TmSe structure.

```
Gd2TmSe
1.0
1.864 1.076 10.346
-1.864 1.076 10.346
0.000 -2.152 10.346
Gd Tm Se
2 1 1
Cartesian
0.000 0.000 3.335
0.000 0.000 27.702
0.000 0.000 0.000
0.000 0.000 15.519
```

Output
E above lowest polymorph: 163 meV/atom

---

Entry 3:
A plane-wave DFT calculation with PBE was carried out for a geometry-optimized GdTm2Se structure.

```
GdTm2Se
1.0
3.554 0.000 0.000
0.000 3.554 0.000
0.000 0.000 8.542
Gd Tm Se
1 2 1
Cartesian
0.000 0.000 0.000
1.777 1.777 2.502
1.777 1.777 6.040
0.000 0.000 4.271
```

Output
E above lowest polymorph: 0 meV/atom

---

Here are the calculated total magnetization numbers, same order: 6.9, 15.1, 7.5 (Bohr magnetons per cell).
Here are the calculated energy relative to the elements, uncorrected numbers, same order: -1765, -550, -661 (meV/atom).